(1)
# Ca2ReRuC PBE optimized geometry
# Theoretical density in g cm⁻³: 5.139
# DFT total energy in eV per atom: -5.66
# Calculated formation energy in eV per atom: 1.3292
data_Ca2ReRuC
_chemical_formula_sum 'Ca2 Re1 Ru1 C1'
_space_group_name_H-M_alt 'P 4/m m m'
_space_group_IT_number 123
_space_group_name_Hall '-P 4 2'
_cell_length_a 5.639
_cell_length_b 5.639
_cell_length_c 3.856
_cell_angle_alpha 90.00
_cell_angle_beta 90.00
_cell_angle_gamma 90.00
loop_
_atom_site_label
_atom_site_type_symbol
_atom_site_fract_x
_atom_site_fract_y
_atom_site_fract_z
_atom_site_occupancy
Ca1 Ca 0.000 0.500 0.000 1
Re1 Re 0.000 0.000 0.000 1
Ru1 Ru 0.500 0.500 0.500 1
C1 C 0.000 0.000 0.500 1

---

(2)
# CaRh3C PBE optimized geometry
# Theoretical density in g cm⁻³: 8.175
# DFT total energy in eV per atom: -6.80
# Calculated formation energy in eV per atom: -0.1442
data_CaRh3C
_chemical_formula_sum 'Ca2 Rh6 C2'
_space_group_name_H-M_alt 'P -1'
_space_group_IT_number 2
_cell_length_a 5.073
_cell_length_b 5.529
_cell_length_c 6.370
_cell_angle_alpha 105.71
_cell_angle_beta 100.27
_cell_angle_gamma 115.18
loop_
_space_group_symop_operation_xyz
'x,y,z'
'-x,-y,-z'
loop_
_atom_site_label
_atom_site_type_symbol
_atom_site_fract_x
_atom_site_fract_y
_atom_site_fract_z
_atom_site_occupancy
Ca1 Ca 0.176 0.173 0.268 1
Rh1 Rh 0.000 0.500 0.000 1
Rh2 Rh 0.230 0.754 0.490 1
Rh3 Rh 0.368 0.325 0.771 1
Rh4 Rh 0.500 0.000 0.000 1
C1 C 0.204 0.583 0.743 1

---

(3)
# CaRh3C PBE optimized geometry
# Theoretical density in g cm⁻³: 7.681
# DFT total energy in eV per atom: -6.70
# Calculated formation energy in eV per atom: -0.0484
data_CaRh3C
_chemical_formula_sum 'Ca4 Rh12 C4'
_space_group_name_H-M_alt 'P 1 21/c 1'
_space_group_IT_number 14
_cell_length_a 5.960
_cell_length_b 5.372
_cell_length_c 10.426
_cell_angle_alpha 90.00
_cell_angle_beta 110.81
_cell_angle_gamma 90.00
loop_
_space_group_symop_operation_xyz
'x,y,z'
'-x,-y,-z'
'-x,y+1/2,-z+1/2'
'x,-y+1/2,z+1/2'
loop_
_atom_site_label
_atom_site_type_symbol
_atom_site_fract_x
_atom_site_fract_y
_atom_site_fract_z
_atom_site_occupancy
Ca1 Ca 0.170 0.091 0.156 1
Rh1 Rh 0.045 0.119 0.397 1
Rh2 Rh 0.351 0.567 0.367 1
Rh3 Rh 0.416 0.574 0.101 1
C1 C 0.377 0.244 0.980 1

---

(4)
# Ca2RhC PBE optimized geometry
# Theoretical density in g cm⁻³: 3.317
# DFT total energy in eV per atom: -5.27
# Calculated formation energy in eV per atom: -0.1296
data_Ca2RhC
_chemical_formula_sum 'Ca8 Rh4 C4'
_space_group_name_H-M_alt 'I -4 2 d'
_space_group_IT_number 122
_space_group_name_Hall 'I -4 2bw'
_cell_length_a 10.020
_cell_length_b 10.020
_cell_length_c 3.891
_cell_angle_alpha 90.00
_cell_angle_beta 90.00
_cell_angle_gamma 90.00
loop_
_atom_site_label
_atom_site_type_symbol
_atom_site_fract_x
_atom_site_fract_y
_atom_site_fract_z
_atom_site_occupancy
Ca1 Ca 0.050 0.250 0.125 1
Rh1 Rh 0.000 0.000 0.500 1
C1 C 0.000 0.000 0.000 1

---

Result set for DOS(E_F): 4.96; 7.64; 9.70; 9.65 states/eV/cell, one per record in the order listed.